! Ca2InH2 (SCAN, PBEsol geometry); values from VASP
&SYSTEM
  ibrav = 0, nat = 5, ntyp = 3
/
ATOMIC_SPECIES
Ca 40.08 Ca.upf
In 114.82 In.upf
H 1.01 H.upf
CELL_PARAMETERS angstrom
-1.824 1.824 7.064
1.824 -1.824 7.064
1.824 1.824 -7.064
ATOMIC_POSITIONS angstrom
Ca 0.000 0.000 2.245
Ca 0.000 0.000 11.882
In 0.000 0.000 7.064
H 1.824 0.000 3.532
H 0.000 1.824 3.532
! Raw total energy   -62.590 eV per cell
! Density   3.48 g/cm³


! CaInH2Pd (SCAN, PBEsol geometry); values from VASP
&SYSTEM
  ibrav = 0, nat = 5, ntyp = 4
/
ATOMIC_SPECIES
Ca 40.08 Ca.upf
In 114.82 In.upf
H 1.01 H.upf
Pd 106.42 Pd.upf
CELL_PARAMETERS angstrom
4.076 0.000 0.000
0.000 4.076 0.000
0.000 0.000 5.202
ATOMIC_POSITIONS angstrom
Ca 0.000 0.000 0.000
In 2.038 2.038 0.000
H 0.000 2.038 2.601
H 2.038 0.000 2.601
Pd 0.000 0.000 2.601
! Raw total energy   -81.060 eV per cell
! Density   5.06 g/cm³


! CaMnHIr2 (SCAN, PBEsol geometry); values from VASP
&SYSTEM
  ibrav = 0, nat = 5, ntyp = 4
/
ATOMIC_SPECIES
Ca 40.08 Ca.upf
Mn 54.94 Mn.upf
H 1.01 H.upf
Ir 192.22 Ir.upf
CELL_PARAMETERS angstrom
4.105 0.000 0.000
0.000 4.105 0.000
0.000 0.000 3.888
ATOMIC_POSITIONS angstrom
Ca 0.000 0.000 0.000
Mn 2.052 2.052 0.000
H 2.052 2.052 1.944
Ir 0.000 2.052 1.944
Ir 2.052 0.000 1.944
! Raw total energy   -174.027 eV per cell
! Density   12.18 g/cm³


! NaCaH6Ir (SCAN, PBEsol geometry); values from VASP
&SYSTEM
  ibrav = 0, nat = 9, ntyp = 4
/
ATOMIC_SPECIES
Na 22.99 Na.upf
Ca 40.08 Ca.upf
H 1.01 H.upf
Ir 192.22 Ir.upf
CELL_PARAMETERS angstrom
0.000 3.539 3.539
3.539 0.000 3.539
3.539 3.539 0.000
ATOMIC_POSITIONS angstrom
Na 0.000 0.000 0.000
Ca 3.539 3.539 3.539
H 5.308 5.308 3.633
H 5.308 3.633 5.308
H 6.984 5.308 5.308
H 3.633 5.308 5.308
H 5.308 6.984 5.308
H 5.308 5.308 6.984
Ir 5.308 5.308 5.308
! Raw total energy   -111.737 eV per cell
! Density   4.90 g/cm³


! Ca2HIrO (SCAN, PBEsol geometry); values from VASP
&SYSTEM
  ibrav = 0, nat = 5, ntyp = 4
/
ATOMIC_SPECIES
Ca 40.08 Ca.upf
H 1.01 H.upf
Ir 192.22 Ir.upf
O 16.00 O.upf
CELL_PARAMETERS angstrom
4.907 0.000 0.000
0.000 4.907 0.000
0.000 0.000 3.006
ATOMIC_POSITIONS angstrom
Ca 0.000 2.453 0.000
Ca 2.453 0.000 0.000
H 0.000 0.000 1.503
Ir 2.453 2.453 1.503
O 0.000 0.000 0.000
! Raw total energy   -103.999 eV per cell
! Density   6.64 g/cm³


! CaHIrPt2 (SCAN, PBEsol geometry); values from VASP
&SYSTEM
  ibrav = 0, nat = 5, ntyp = 4
/
ATOMIC_SPECIES
Ca 40.08 Ca.upf
H 1.01 H.upf
Ir 192.22 Ir.upf
Pt 195.08 Pt.upf
CELL_PARAMETERS angstrom
4.926 0.000 0.000
0.000 4.926 0.000
0.000 0.000 3.533
ATOMIC_POSITIONS angstrom
Ca 0.000 0.000 0.000
H 2.463 2.463 0.000
Ir 2.463 2.463 1.767
Pt 0.000 2.463 1.767
Pt 2.463 0.000 1.767
! Raw total energy   -224.465 eV per cell
! Density   12.08 g/cm³


! K2CaMg5Si8H2O24 (SCAN, PBEsol geometry); values from VASP
&SYSTEM
  ibrav = 0, nat = 42, ntyp = 6
/
ATOMIC_SPECIES
K 39.10 K.upf
Ca 40.08 Ca.upf
Mg 24.30 Mg.upf
Si 28.09 Si.upf
H 1.01 H.upf
O 16.00 O.upf
CELL_PARAMETERS angstrom
5.290 0.000 0.000
-2.600 9.872 0.000
-1.345 -4.936 9.044
ATOMIC_POSITIONS angstrom
K 0.000 0.000 0.000
K -1.294 4.931 5.230
Ca 1.345 4.935 1.147
Mg 0.000 -0.001 3.530
Mg 0.001 0.000 6.747
Mg 2.645 -0.001 1.876
Mg 2.645 -0.001 5.120
Mg 2.645 -0.001 8.367
Si -0.882 2.801 2.041
Si -1.720 7.069 2.040
Si -0.900 2.738 8.259
Si 0.902 -2.740 8.258
Si 1.771 2.683 3.586
Si 0.917 7.187 3.585
Si 1.751 2.641 6.666
Si 3.541 -2.642 6.665
H -0.859 1.990 5.150
H 0.861 -1.991 5.153
O -0.906 1.197 2.146
O -0.570 3.611 0.689
O -2.271 3.300 7.465
O -0.863 1.020 5.157
O -0.314 -3.239 7.188
O -1.695 8.674 2.145
O -0.884 1.106 8.280
O 0.864 -1.022 5.157
O 0.372 3.366 3.052
O -0.310 6.453 2.755
O 2.066 1.459 0.605
O 0.886 -1.108 8.279
O 0.625 8.411 0.606
O 1.777 1.078 3.558
O 0.316 3.238 7.189
O 2.273 -3.301 7.465
O 0.753 6.643 5.134
O 1.776 1.036 6.706
O 3.513 -1.079 3.558
O 1.938 3.228 5.134
O 2.997 3.418 2.753
O 2.314 6.504 3.048
O 3.261 6.260 0.687
O 3.516 -1.037 6.705
! Raw total energy   -411.252 eV per cell
! Density   2.99 g/cm³


! KCaSiHO4 (SCAN, PBEsol geometry); values from VASP
&SYSTEM
  ibrav = 0, nat = 16, ntyp = 5
/
ATOMIC_SPECIES
K 39.10 K.upf
Ca 40.08 Ca.upf
Si 28.09 Si.upf
H 1.01 H.upf
O 16.00 O.upf
CELL_PARAMETERS angstrom
5.538 0.000 0.000
0.000 7.423 0.000
-2.700 0.000 4.894
ATOMIC_POSITIONS angstrom
K 0.043 0.000 1.390
K 2.795 3.711 3.504
Ca 2.738 1.845 0.022
Ca 0.100 5.556 4.872
Si 0.009 3.655 1.828
Si 2.829 7.367 3.066
H 1.345 5.476 2.328
H 1.493 1.764 2.566
O -1.291 7.411 3.869
O -0.174 3.681 3.458
O 0.971 2.392 1.398
O 0.959 5.002 1.438
O 1.879 1.291 3.456
O 1.867 6.103 3.496
O 3.012 7.392 1.436
O 4.129 3.700 1.025
! Raw total energy   -154.860 eV per cell
! Density   2.84 g/cm³


Look up the raw total energy of the fifth one. -103.999 eV per cell


The highest raw total energy belongs to which entry? Ca2InH2


The highest raw total energy belongs to which entry? Ca2InH2


density of number 8 (KCaSiHO4)? 2.84 g/cm³